w:
## LaErGa (PBE)

Data for a geometry-optimized LaErGa structure.

Results
The density of states at the Fermi level comes out at 1.281 states/eV per atom. As for the space-group type: P3m1.

Cell: 3.981 4.984 4.984 Å, 120.00 90.00 90.00°
Sites, in units of the cell vectors:
La  0.651  0.667  0.333
Er  0.119  0.000  0.000
Ga  0.231  0.333  0.667

x:
## LaErGa (PBE)

Data for a geometry-optimized LaErGa structure.

Results
The density of states at the Fermi level comes out at 1.590 states/eV per atom. As for the space-group type: F-43m.

Cell: 5.070 5.070 5.070 Å, 60.00 60.00 60.00°
Sites, in units of the cell vectors:
La  0.500  0.500  0.500
Ga  0.250  0.250  0.250
Er  0.000  0.000  0.000

y:
## LaErGa (PBE)

Data for a geometry-optimized LaErGa structure.

Results
The density of states at the Fermi level comes out at 1.031 states/eV per atom. As for the space-group type: P4/nmm.

Cell: 4.697 4.697 7.850 Å, 90.00 90.00 90.00°
Sites, in units of the cell vectors:
La  0.500  0.000  0.141
La  0.000  0.500  0.859
Er  0.500  0.500  0.500
Er  0.000  0.000  0.500
Ga  0.500  0.000  0.744
Ga  0.000  0.500  0.256

z:
## LaErGa (PBE)

Data for a geometry-optimized LaErGa structure.

Results
The density of states at the Fermi level comes out at 1.051 states/eV per atom. As for the space-group type: C2/m.

Cell: 3.778 5.350 8.522 Å, 90.03 102.79 90.00°
Sites, in units of the cell vectors:
Ga  0.340  0.027  0.367
Ga  0.520  0.524  0.726
La  0.002  0.024  0.690
La  0.858  0.527  0.403
Er  0.703  0.026  0.093
Er  0.157  0.525  0.000

Short version: y is the most stable of them.